(1)
## ZnCl2O (PBE)

Data for ZnCl2O after structural relaxation.

The structure in extended XYZ format:
```
4
Lattice="2.725 -1.311 3.343 -0.655 1.551 4.182 -1.541 -2.762 3.213" Properties=species:S:1:pos:R:3 pbc="T T T"
Zn 0.264 -1.261 5.369
O 0.000 0.000 0.000
Cl 0.132 -0.630 2.685
Cl 0.396 -1.891 8.054
```

- crystal system = cubic
- E above lowest polymorph (eV/f.u.) = 1.724
- raw total energy (eV per cell) = -8.67
- space-group type = Fm-3m (225)
- magnetic moment (Bohr magnetons per cell) = 2.00
- uncorrected formation energy (meV/atom) = 314.1



(2)
## Zn5Cl2O9 (PBE)

Data for Zn5Cl2O9 after structural relaxation.

The structure in extended XYZ format:
```
16
Lattice="7.190 -3.108 -0.086 7.190 3.108 -0.086 5.909 0.000 5.143" Properties=species:S:1:pos:R:3 pbc="T T T"
Zn 6.549 -1.554 2.528
Zn 7.190 0.000 -0.086
Zn 6.549 1.554 2.528
Zn 1.634 0.000 0.400
Zn 18.654 0.000 4.571
Cl 3.833 0.000 0.939
Cl 16.455 0.000 4.032
O 14.309 1.515 4.407
O 14.309 -1.515 4.407
O 14.934 0.000 1.858
O 5.979 -1.515 0.564
O 5.979 1.515 0.564
O 5.354 0.000 3.113
O 7.767 0.000 1.903
O 12.521 0.000 3.068
O 10.144 0.000 2.485
```

- crystal system = trigonal
- raw total energy (eV per cell) = -58.39
- space-group type = R-3m (166)
- magnetic moment (Bohr magnetons per cell) = 10.01
- uncorrected formation energy (meV/atom) = -231.4



(3)
## Zn3ClO3 (PBE)

Data for Zn3ClO3 after structural relaxation.

The structure in extended XYZ format:
```
14
Lattice="5.701 0.000 0.000 0.000 5.701 0.000 0.000 0.000 5.701" Properties=species:S:1:pos:R:3 pbc="T T T"
Zn 1.425 0.000 2.851
Zn 4.276 0.000 2.851
Zn 0.000 2.851 1.425
Zn 0.000 2.851 4.276
Zn 2.851 1.425 0.000
Zn 2.851 4.276 0.000
Cl 0.000 0.000 0.000
Cl 2.851 2.851 2.851
O 1.425 2.851 0.000
O 4.276 2.851 0.000
O 2.851 0.000 1.425
O 2.851 0.000 4.276
O 0.000 1.425 2.851
O 0.000 4.276 2.851
```

- crystal system = cubic
- raw total energy (eV per cell) = -56.04
- space-group type = Pm-3n (223)
- magnetic moment (Bohr magnetons per cell) = 1.40
- uncorrected formation energy (meV/atom) = -1068.0



(4)
## ZnCl2O2 (PBE)

Data for ZnCl2O2 after structural relaxation.

The structure in extended XYZ format:
```
5
Lattice="-2.436 2.433 1.014 -0.472 -3.472 0.848 5.162 1.499 8.801" Properties=species:S:1:pos:R:3 pbc="T T T"
Zn 0.000 0.000 0.000
Cl -1.096 0.663 2.128
Cl 3.350 -0.203 8.534
O -0.459 -0.176 5.671
O 2.714 0.636 4.992
```

- crystal system = monoclinic
- raw total energy (eV per cell) = -18.07
- space-group type = C2/m (12)
- magnetic moment (Bohr magnetons per cell) = 2.00
- uncorrected formation energy (meV/atom) = -637.8